10
Lattice="6.9360 0.0000 0.0000 3.0978 7.0650 0.0000 2.7329 0.6411 7.8899" Properties=species:S:1:pos:R:3 comment="HPdI3 | the Alexandria database | PBE-GGA | optimized geometry" rho_g_cm3=4.193 final_energy_ev_per_atom=-2.74 relative_energy_mev_per_atom=7.7 pbc="T T T"
H 2.0790 1.7407 0.4234
H 10.6878 5.9654 7.4665
Pd 4.8777 3.6396 5.1496
Pd 7.8891 4.0665 2.7403
I 2.9066 2.4522 1.9895
I 4.0457 1.6475 6.6774
I 5.8797 5.5087 3.6063
I 6.8871 2.1974 4.2836
I 8.7211 6.0586 1.2125
I 9.8601 5.2539 5.9004


16
Lattice="5.8778 0.0000 0.0000 0.0000 5.8778 0.0000 0.0000 0.0000 11.4113" Properties=species:S:1:pos:R:3 comment="HPdI2 | the Alexandria database | PBE-GGA | optimized geometry" rho_g_cm3=6.086 final_energy_ev_per_atom=-2.60 relative_energy_mev_per_atom=303.8 pbc="T T T"
H 0.0000 0.0000 0.0000
H 0.0000 2.9389 2.8528
H 2.9389 0.0000 8.5585
H 2.9389 2.9389 5.7056
Pd 0.0000 0.0000 5.7056
Pd 0.0000 2.9389 8.5585
Pd 2.9389 0.0000 2.8528
Pd 2.9389 2.9389 0.0000
I 1.2263 1.4695 1.4264
I 1.4695 4.1652 4.2792
I 1.4695 4.6516 9.9849
I 1.7127 1.4695 7.1320
I 4.1652 4.4084 7.1320
I 4.4084 1.2263 9.9849
I 4.4084 1.7127 4.2792
I 4.6516 4.4084 1.4264


11
Lattice="7.8480 0.0000 0.0000 3.8470 7.3762 0.0000 3.2651 0.6583 8.1610" Properties=species:S:1:pos:R:3 comment="H2PdI8 | the Alexandria database | PBE-GGA | optimized geometry" rho_g_cm3=3.950 final_energy_ev_per_atom=-2.25 pbc="T T T"
H 2.3721 1.8160 1.8299
H 12.5879 6.2184 6.3311
Pd 7.4800 4.0172 4.0805
I 3.5055 4.1783 2.1161
I 1.5551 0.3875 1.6508
I 6.2601 2.5759 5.9496
I 6.1186 2.7943 2.1551
I 8.8414 5.2401 6.0059
I 8.6999 5.4586 2.2113
I 13.4049 7.6470 6.5102
I 11.4545 3.8562 6.0449


8
Lattice="3.7036 0.0000 0.0000 0.0000 14.4784 0.0000 -0.0121 0.0000 3.9376" Properties=species:S:1:pos:R:3 comment="HPdI2 | the Alexandria database | PBE-GGA | optimized geometry" rho_g_cm3=5.682 final_energy_ev_per_atom=-2.90 relative_energy_mev_per_atom=0.0 pbc="T T T"
H 0.0000 0.0000 0.0000
H 1.8518 7.2392 0.0000
Pd 0.0000 7.2392 0.0000
Pd 1.8518 0.0000 0.0000
I -0.0061 5.3905 1.9688
I -0.0061 9.0879 1.9688
I 1.8457 1.8487 1.9688
I 1.8457 12.6297 1.9688